Compound: PrDy6Sc2
Source: the Alexandria database
Functional: GGA-PBE
Structure: optimized geometry

a = 11.9641 Å, b = 7.1982 Å, c = 7.1982 Å
α = 86.25°, β = 71.14°, γ = 71.14°
Closest atoms and distances in Å follow each position.
Sites, in units of the cell vectors:
Dy 0.9301 0.0548 0.2637  2 Sc 3.14-3.48, 2 Dy 3.18-3.22, 1 Pr 3.31
Dy 0.3958 0.2329 0.5122  4 Dy 3.18-3.45, 3 Sc 3.27-3.49, 1 Pr 3.52
Dy 0.6446 0.2423 0.6412  3 Sc 3.17-3.46, 4 Dy 3.22-3.52
Dy 0.1042 0.4878 0.7671  4 Dy 3.18-3.45, 3 Sc 3.27-3.49, 1 Pr 3.52
Dy 0.6042 0.7671 0.4878  4 Dy 3.18-3.45, 3 Sc 3.27-3.49, 1 Pr 3.52
Dy 0.3554 0.7577 0.3588  3 Sc 3.17-3.46, 4 Dy 3.22-3.52
Dy 0.8554 0.3588 0.7577  3 Sc 3.17-3.46, 4 Dy 3.22-3.52
Dy 0.0699 0.9452 0.7363  2 Sc 3.14-3.48, 2 Dy 3.18-3.22, 1 Pr 3.31
Dy 0.8958 0.5122 0.2329  4 Dy 3.18-3.45, 3 Sc 3.27-3.49, 1 Pr 3.52
Dy 0.5699 0.7363 0.9452  2 Sc 3.14-3.48, 2 Dy 3.18-3.22, 1 Pr 3.31
Dy 0.1446 0.6412 0.2423  3 Sc 3.17-3.46, 4 Dy 3.22-3.52
Dy 0.4301 0.2637 0.0548  2 Sc 3.14-3.48, 2 Dy 3.18-3.22, 1 Pr 3.31
Sc 0.1410 0.2178 0.3908  8 Dy 3.14-3.49, 1 Pr 3.15
Sc 0.8590 0.7822 0.6092  8 Dy 3.14-3.49, 1 Pr 3.15
Sc 0.6410 0.3908 0.2178  8 Dy 3.14-3.49, 1 Pr 3.15
Sc 0.3590 0.6092 0.7822  8 Dy 3.14-3.49, 1 Pr 3.15
Pr 0.7500 0.9550 0.0450  2 Sc 3.15, 4 Dy 3.31-3.52
Pr 0.2500 0.0450 0.9550  2 Sc 3.15, 4 Dy 3.31-3.52

Fermi-level density of states = 26.544 states/eV per cell
Calculated total energy = -4.811 eV per atom
Energy of formation = 0.1954 eV/atom
Offset from the most stable computed form = 0 meV/atom
Symmetry = C2/c



Compound: Pr6Dy8Sc
Source: the Alexandria database
Functional: GGA-PBE
Structure: optimized geometry

a = 9.1241 Å, b = 9.1241 Å, c = 8.7219 Å
α = 58.46°, β = 58.46°, γ = 60.00°
Closest atoms and distances in Å follow each position.
Sites, in units of the cell vectors:
Dy 0.7534 0.7167 0.4180  3 Pr 3.38-3.68, 5 Dy 3.45-3.48, 1 Sc 3.52
Dy 0.4230 0.4230 0.7310  4 Dy 3.21-3.45, 3 Pr 3.46
Dy 0.8882 0.2466 0.5820  3 Pr 3.38-3.68, 5 Dy 3.45-3.48, 1 Sc 3.52
Dy 0.7167 0.1118 0.4180  3 Pr 3.38-3.68, 5 Dy 3.45-3.48, 1 Sc 3.52
Dy 0.5770 0.5770 0.2690  4 Dy 3.21-3.45, 3 Pr 3.46
Dy 0.2833 0.8882 0.5820  3 Pr 3.38-3.68, 5 Dy 3.45-3.48, 1 Sc 3.52
Dy 0.1118 0.7534 0.4180  3 Pr 3.38-3.68, 5 Dy 3.45-3.48, 1 Sc 3.52
Dy 0.2466 0.2833 0.5820  3 Pr 3.38-3.68, 5 Dy 3.45-3.48, 1 Sc 3.52
Pr 0.9001 0.7714 0.8698  4 Dy 3.38-3.68, 1 Sc 3.45, 2 Pr 3.59
Pr 0.0999 0.2286 0.1302  4 Dy 3.38-3.68, 1 Sc 3.45, 2 Pr 3.59
Pr 0.7714 0.4587 0.8698  4 Dy 3.38-3.68, 1 Sc 3.45, 2 Pr 3.59
Pr 0.4587 0.9001 0.8698  4 Dy 3.38-3.68, 1 Sc 3.45, 2 Pr 3.59
Pr 0.2286 0.5413 0.1302  4 Dy 3.38-3.68, 1 Sc 3.45, 2 Pr 3.59
Pr 0.5413 0.0999 0.1302  4 Dy 3.38-3.68, 1 Sc 3.45, 2 Pr 3.59
Sc 0.0000 0.0000 0.0000  6 Pr 3.45, 6 Dy 3.52

Fermi-level density of states = 22.233 states/eV per cell
Calculated total energy = -4.675 eV per atom
Energy of formation = 0.1133 eV/atom
Symmetry = R-3



Compound: Pr3Dy3Sc2
Source: the Alexandria database
Functional: GGA-PBE
Structure: optimized geometry

a = 5.5097 Å, b = 5.7081 Å, c = 9.0357 Å
α = 109.42°, β = 107.75°, γ = 90.00°
Closest atoms and distances in Å follow each position.
Sites, in units of the cell vectors:
Dy 0.8609 0.3224 0.7218  4 Sc 3.28-3.45, 1 Dy 3.49, 5 Pr 3.55-3.63
Dy 0.1391 0.6776 0.2782  4 Sc 3.28-3.45, 1 Dy 3.49, 5 Pr 3.55-3.63
Dy 0.0000 0.0000 0.0000  4 Dy 3.49-3.77, 4 Pr 3.59
Pr 0.6411 0.0932 0.2822  4 Sc 3.26-3.45, 1 Pr 3.41, 5 Dy 3.55-3.63
Pr 0.5000 0.5000 0.0000  2 Pr 3.41, 4 Dy 3.56
Pr 0.3589 0.9068 0.7178  4 Sc 3.26-3.45, 1 Pr 3.41, 5 Dy 3.55-3.63
Sc 0.7504 0.6892 0.5007  4 Pr 3.26-3.45, 4 Dy 3.28-3.45, 2 Sc 3.50
Sc 0.2496 0.3108 0.4993  4 Pr 3.26-3.45, 4 Dy 3.28-3.45, 2 Sc 3.50

Fermi-level density of states = 12.373 states/eV per cell
Calculated total energy = -5.022 eV per atom
Energy of formation = 0.0792 eV/atom
Offset from the most stable computed form = 35 meV/atom
Symmetry = C2/m



Compound: Pr4Dy3Sc
Source: the Alexandria database
Functional: GGA-PBE
Structure: optimized geometry

a = 3.6179 Å, b = 6.2394 Å, c = 12.8291 Å
α = 114.11°, β = 98.11°, γ = 90.00°
Closest atoms and distances in Å follow each position.
Sites, in units of the cell vectors:
Pr 0.6245 0.8755 0.2490  1 Sc 3.55, 5 Dy 3.56-3.59, 6 Pr 3.58-3.63
Pr 0.1211 0.3657 0.2422  2 Sc 3.49, 4 Dy 3.51-3.64, 6 Pr 3.58-3.63
Pr 0.3755 0.1245 0.7510  1 Sc 3.55, 5 Dy 3.56-3.59, 6 Pr 3.58-3.63
Pr 0.8789 0.6343 0.7578  2 Sc 3.49, 4 Dy 3.51-3.64, 6 Pr 3.58-3.63
Dy 0.2508 0.2521 0.5015  6 Pr 3.57-3.64, 6 Dy 3.60-3.62
Dy 0.7492 0.7479 0.4985  6 Pr 3.57-3.64, 6 Dy 3.60-3.62
Dy 0.0000 0.5000 0.0000  6 Pr 3.51-3.56, 4 Sc 3.61, 2 Dy 3.62
Sc 0.5000 0.0000 0.0000  6 Pr 3.49-3.55, 4 Dy 3.61, 2 Sc 3.62

Fermi-level density of states = 10.084 states/eV per cell
Calculated total energy = -4.874 eV per atom
Energy of formation = 0.0329 eV/atom
Offset from the most stable computed form = 0 meV/atom
Symmetry = C2/m



Compound: PrDy3Sc2
Source: the Alexandria database
Functional: GGA-PBE
Structure: optimized geometry

a = 6.1895 Å, b = 7.0604 Å, c = 9.6344 Å
α = 111.52°, β = 108.74°, γ = 90.00°
Closest atoms and distances in Å follow each position.
Sites, in units of the cell vectors:
Sc 0.3545 0.3543 0.7088  8 Dy 3.32-3.65, 2 Pr 3.39, 2 Sc 3.53
Sc 0.6455 0.6457 0.2912  8 Dy 3.32-3.65, 2 Pr 3.39, 2 Sc 3.53
Sc 0.3543 0.8543 0.7088  8 Dy 3.32-3.65, 2 Pr 3.39, 2 Sc 3.53
Sc 0.6457 0.1457 0.2912  8 Dy 3.32-3.65, 2 Pr 3.39, 2 Sc 3.53
Dy 0.2523 0.2500 0.0000  2 Pr 3.09-3.10, 4 Sc 3.39
Dy 0.1840 0.9366 0.3740  6 Sc 3.32-3.65, 4 Dy 3.50-3.72, 1 Pr 3.51
Dy 0.8100 0.5634 0.6260  6 Sc 3.32-3.65, 4 Dy 3.50-3.72, 1 Pr 3.51
Dy 0.8160 0.0634 0.6260  6 Sc 3.32-3.65, 4 Dy 3.50-3.72, 1 Pr 3.51
Dy 0.7477 0.7500 0.0000  2 Pr 3.09-3.10, 4 Sc 3.39
Dy 0.1900 0.4366 0.3740  6 Sc 3.32-3.65, 4 Dy 3.50-3.72, 1 Pr 3.51
Pr 0.2492 0.7500 0.0000  2 Dy 3.09-3.10, 4 Sc 3.39
Pr 0.7508 0.2500 0.0000  2 Dy 3.09-3.10, 4 Sc 3.39

Fermi-level density of states = 17.298 states/eV per cell
Calculated total energy = -5.045 eV per atom
Energy of formation = 0.1633 eV/atom
Offset from the most stable computed form = 9 meV/atom
Symmetry = Imma



Compound: Pr4Dy6Sc
Source: the Alexandria database
Functional: GGA-PBE
Structure: optimized geometry

a = 5.7442 Å, b = 5.6221 Å, c = 25.8390 Å
α = 90.00°, β = 90.00°, γ = 120.72°
Closest atoms and distances in Å follow each position.
Sites, in units of the cell vectors:
Pr 0.1545 0.3090 0.0472  7 Dy 3.46-3.73, 2 Pr 3.61-3.86
Pr 0.8455 0.6910 0.5472  7 Dy 3.46-3.73, 2 Pr 3.61-3.86
Pr 0.1545 0.3090 0.4528  7 Dy 3.46-3.73, 2 Pr 3.61-3.86
Pr 0.8455 0.6910 0.9528  7 Dy 3.46-3.73, 2 Pr 3.61-3.86
Pr 0.4680 0.9360 0.1230  6 Dy 3.19-3.54
Pr 0.5320 0.0640 0.6230  6 Dy 3.19-3.54
Pr 0.4680 0.9360 0.3770  6 Dy 3.19-3.54
Pr 0.5320 0.0640 0.8770  6 Dy 3.19-3.54
Dy 0.8083 0.6167 0.1113  5 Pr 3.27-3.63, 1 Sc 3.58
Dy 0.5000 0.0000 0.5000  8 Pr 3.19-3.56
Dy 0.1418 0.2836 0.3150  5 Dy 3.36-3.74, 4 Pr 3.54-3.69, 3 Sc 3.60-3.71
Dy 0.1917 0.3833 0.8887  5 Pr 3.27-3.63, 1 Sc 3.58
Dy 0.1917 0.3833 0.6113  5 Pr 3.27-3.63, 1 Sc 3.58
Dy 0.1418 0.2836 0.1850  5 Dy 3.36-3.74, 4 Pr 3.54-3.69, 3 Sc 3.60-3.71
Dy 0.8582 0.7164 0.6850  5 Dy 3.36-3.74, 4 Pr 3.54-3.69, 3 Sc 3.60-3.71
Dy 0.5000 0.0000 0.0000  8 Pr 3.19-3.56
Dy 0.8582 0.7164 0.8150  5 Dy 3.36-3.74, 4 Pr 3.54-3.69, 3 Sc 3.60-3.71
Dy 0.4779 0.9559 0.2500  3 Sc 3.23-3.29, 2 Pr 3.28
Dy 0.8083 0.6167 0.3887  5 Pr 3.27-3.63, 1 Sc 3.58
Dy 0.5221 0.0441 0.7500  3 Sc 3.23-3.29, 2 Pr 3.28
Sc 0.8123 0.6247 0.2500  7 Dy 3.23-3.60
Sc 0.1877 0.3753 0.7500  7 Dy 3.23-3.60

Fermi-level density of states = 39.191 states/eV per cell
Calculated total energy = -4.692 eV per atom
Energy of formation = 0.1321 eV/atom
Symmetry = Cmcm



Compound: PrDy2Sc2
Source: the Alexandria database
Functional: GGA-PBE
Structure: optimized geometry

a = 5.4896 Å, b = 6.7944 Å, c = 9.1748 Å
α = 111.73°, β = 107.41°, γ = 90.00°
Closest atoms and distances in Å follow each position.
Sites, in units of the cell vectors:
Dy 0.0011 0.7511 0.5023  2 Pr 3.39, 4 Dy 3.40-3.41, 4 Sc 3.53
Dy 0.3756 0.6256 0.2512  6 Sc 3.39-3.40, 2 Pr 3.40, 2 Dy 3.41
Dy 0.6244 0.3744 0.7488  6 Sc 3.39-3.40, 2 Pr 3.40, 2 Dy 3.41
Dy 0.9989 0.2489 0.4977  2 Pr 3.39, 4 Dy 3.40-3.41, 4 Sc 3.53
Sc 0.8082 0.3138 0.1164  4 Sc 3.32-3.47, 5 Dy 3.39-3.53, 3 Pr 3.42-3.43
Sc 0.8082 0.8026 0.1164  4 Sc 3.32-3.47, 5 Dy 3.39-3.53, 3 Pr 3.42-3.43
Sc 0.1918 0.6862 0.8836  4 Sc 3.32-3.47, 5 Dy 3.39-3.53, 3 Pr 3.42-3.43
Sc 0.1918 0.1974 0.8836  4 Sc 3.32-3.47, 5 Dy 3.39-3.53, 3 Pr 3.42-3.43
Pr 0.3751 0.1251 0.2502  4 Dy 3.39-3.40, 6 Sc 3.42-3.43
Pr 0.6249 0.8749 0.7498  4 Dy 3.39-3.40, 6 Sc 3.42-3.43

Fermi-level density of states = 16.972 states/eV per cell
Calculated total energy = -5.200 eV per atom
Energy of formation = 0.1292 eV/atom
Offset from the most stable computed form = 0 meV/atom
Symmetry = Imma



Compound: Pr4Dy15Sc
Source: the Alexandria database
Functional: GGA-PBE
Structure: optimized geometry

a = 5.0505 Å, b = 5.0505 Å, c = 25.1105 Å
α = 90.00°, β = 90.00°, γ = 90.00°
Closest atoms and distances in Å follow each position.
Sites, in units of the cell vectors:
Dy 0.5000 0.5000 0.8038  4 Pr 3.57, 8 Dy 3.58
Dy 0.5000 0.0000 0.0949  8 Dy 3.47-3.58, 2 Sc 3.47, 2 Pr 3.60
Dy 0.5000 0.5000 0.1962  4 Pr 3.57, 8 Dy 3.58
Dy 0.0000 0.5000 0.0949  8 Dy 3.47-3.58, 2 Sc 3.47, 2 Pr 3.60
Dy 0.5000 0.0000 0.7026  4 Pr 3.57-3.58, 8 Dy 3.57-3.59
Dy 0.5000 0.5000 0.3989  4 Pr 3.57, 8 Dy 3.58-3.59
Dy 0.5000 0.0000 0.5000  8 Dy 3.57-3.58, 4 Pr 3.58
Dy 0.0000 0.5000 0.9051  8 Dy 3.47-3.58, 2 Sc 3.47, 2 Pr 3.60
Dy 0.0000 0.5000 0.2974  4 Pr 3.57-3.58, 8 Dy 3.57-3.59
Dy 0.0000 0.5000 0.7026  4 Pr 3.57-3.58, 8 Dy 3.57-3.59
Dy 0.5000 0.5000 0.6011  4 Pr 3.57, 8 Dy 3.58-3.59
Dy 0.5000 0.0000 0.2974  4 Pr 3.57-3.58, 8 Dy 3.57-3.59
Dy 0.0000 0.5000 0.5000  8 Dy 3.57-3.58, 4 Pr 3.58
Dy 0.5000 0.5000 0.0000  8 Dy 3.47, 4 Sc 3.57
Dy 0.5000 0.0000 0.9051  8 Dy 3.47-3.58, 2 Sc 3.47, 2 Pr 3.60
Pr 0.0000 0.0000 0.6013  12 Dy 3.57-3.58
Pr 0.0000 0.0000 0.3987  12 Dy 3.57-3.58
Pr 0.0000 0.0000 0.1972  12 Dy 3.57-3.60
Pr 0.0000 0.0000 0.8028  12 Dy 3.57-3.60
Sc 0.0000 0.0000 0.0000  12 Dy 3.47-3.57

Fermi-level density of states = 27.473 states/eV per cell
Calculated total energy = -4.698 eV per atom
Energy of formation = 0.0260 eV/atom
Symmetry = P4/mmm